# 1
Compound: SrTcPt2
Source: Alexandria via LeMat-Bulk
Functional: PBEsol
Structure: optimized geometry

Results
The formation energy is 0.07 eV/atom. The calculation puts the magnetization at 0.0 Bohr magnetons per cell. As for the symmetry: Cm, No. 8. The calculated density comes out at 12.9 g cm⁻³. The energy relative to the lowest polymorph listed for this composition is 0.00 kcal/mol of atoms.

Lattice parameters (Å, degrees): 4.867 4.867 5.661 98.22 98.22 34.03
Element x y z (fractional)
Sr  0.000  0.000  0.000
Tc  0.235  0.235  0.642
Pt  0.500  0.500  0.519
Pt  0.758  0.758  0.267

# 2
Compound: SrTcPt2
Source: Alexandria via LeMat-Bulk
Functional: PBEsol
Structure: optimized geometry

Results
The formation energy is 0.48 eV/atom. The calculation puts the magnetization at 0.0 Bohr magnetons per cell. As for the symmetry: R3m, No. 160. The calculated density comes out at 13.9 g cm⁻³. The energy relative to the lowest polymorph listed for this composition is 9.43 kcal/mol of atoms.

Lattice parameters (Å, degrees): 9.906 9.906 9.906 16.57 16.57 16.57
Element x y z (fractional)
Sr  0.000  0.000  0.000
Tc  0.762  0.762  0.762
Pt  0.244  0.244  0.244
Pt  0.499  0.499  0.499

# 3
Compound: SrTc2Pt
Source: Alexandria via LeMat-Bulk
Functional: PBEsol
Structure: optimized geometry

Results
The formation energy is 0.63 eV/atom. The calculation puts the magnetization at 0.0 Bohr magnetons per cell. As for the symmetry: P2/m, No. 10. The calculated density comes out at 11.3 g cm⁻³. The energy relative to the lowest polymorph listed for this composition is 4.10 kcal/mol of atoms.

Lattice parameters (Å, degrees): 2.724 5.054 5.116 90.00 92.93 90.00
Element x y z (fractional)
Sr  0.000  0.000  0.000
Tc  0.385  0.500  0.736
Tc  0.615  0.500  0.264
Pt  0.500  0.000  0.500

# 4
Compound: SrTcPt
Source: Alexandria via LeMat-Bulk
Functional: PBEsol
Structure: optimized geometry

Results
The formation energy is 0.80 eV/atom. The calculation puts the magnetization at 0.0 Bohr magnetons per cell. As for the symmetry: F-43m, No. 216. The calculated density comes out at 9.9 g cm⁻³. The energy relative to the lowest polymorph listed for this composition is 1.30 kcal/mol of atoms.

Lattice parameters (Å, degrees): 4.487 4.487 4.487 60.00 60.00 60.00
Element x y z (fractional)
Sr  0.000  0.000  0.000
Tc  0.750  0.750  0.750
Pt  0.500  0.500  0.500